The following is a DFT calculation (PBE) of a geometry-optimized KRb5Hg2 structure.

Energy of formation: -0.11 eV per atom
Symmetry: I4/mcm
Total magnetization: 0.00 μB per formula unit

Cell: 9.9191 9.9191 12.5019 Å, 113.37 113.37 90.00°
Closest atoms and distances in Å follow each position.
Positions (direct):
Rb1 0.2905 0.7905 0.2508  3 Hg 3.83-4.04
Hg1 0.3855 0.8855 0.0000  1 Hg 3.21
Rb2 0.5397 0.7095 0.7492  3 Hg 3.83-4.04
Hg2 0.8855 0.6145 0.0000  1 Hg 3.21
Rb3 0.4603 0.2905 0.2508  3 Hg 3.83-4.04
Hg3 0.1145 0.3855 0.0000  1 Hg 3.21
Rb4 0.7095 0.2095 0.7492  3 Hg 3.83-4.04
Rb5 0.0000 0.0000 0.0000  4 Hg 3.99
Rb6 0.7905 0.9603 0.2508  3 Hg 3.83-4.04
K1 0.7500 0.7500 0.5000  8 Rb 4.51
K2 0.2500 0.2500 0.5000  8 Rb 4.51
Rb7 0.5000 0.5000 0.0000  4 Hg 3.99
Hg4 0.6145 0.1145 0.0000  1 Hg 3.21
Rb8 0.9603 0.4603 0.2508  3 Hg 3.83-4.04
Rb9 0.2095 0.0397 0.7492  3 Hg 3.83-4.04
Rb10 0.0397 0.5397 0.7492  3 Hg 3.83-4.04